First-principles (PBE) data for crystalline Y2Be2Al at its relaxed geometry, as listed in Alexandria.

a b c (Å): 6.7020 6.7020 4.2985
angles (deg): 90.00 90.00 90.00
Element x y z (fractional)
Y 0.1771 0.3229 0.0000
Y 0.3229 0.8229 0.0000
Y 0.6771 0.1771 0.0000
Y 0.8229 0.6771 0.0000
Be 0.1178 0.6178 0.5000
Be 0.3822 0.1178 0.5000
Be 0.6178 0.8822 0.5000
Be 0.8822 0.3822 0.5000
Al 0.0000 0.0000 0.5000
Al 0.5000 0.5000 0.5000

## Properties
space-group type	P4/mbm, No. 127
ρ	3.83	g/cm³
magnetization	0.00	μB/atom
calculated formation energy	-0.1379	eV per atom


First-principles (PBE) data for crystalline Er5Tm8Sc at its relaxed geometry, as listed in Alexandria.

a b c (Å): 8.5475 8.5475 8.2222
angles (deg): 116.63 116.63 56.91
Element x y z (fractional)
Er 0.0000 0.0000 0.0000
Er 0.2249 0.5580 0.0262
Er 0.4420 0.7751 0.9738
Er 0.6001 0.3012 0.7244
Er 0.6988 0.3999 0.2756
Tm 0.0578 0.5658 0.5689
Tm 0.0754 0.1829 0.6770
Tm 0.3770 0.2761 0.2861
Tm 0.4342 0.9422 0.4311
Tm 0.5433 0.0801 0.9293
Tm 0.7239 0.6230 0.7139
Tm 0.8171 0.9246 0.3230
Tm 0.9199 0.4567 0.0707
Sc 0.2850 0.7150 0.5000

## Properties
space-group type	C2, No. 5
ρ	8.56	g/cm³
magnetization	0.00	μB/atom
calculated formation energy	0.2030	eV per atom


First-principles (PBE) data for crystalline Na5LiBr6 at its relaxed geometry, as listed in Alexandria.

a b c (Å): 7.2903 7.2903 7.2802
angles (deg): 99.60 99.60 120.08
Element x y z (fractional)
Na 0.0000 0.0000 0.0000
Na 0.1664 0.8336 0.5000
Na 0.3321 0.6679 0.0000
Na 0.6679 0.3321 0.0000
Na 0.8336 0.1664 0.5000
Li 0.5000 0.5000 0.5000
Br 0.0963 0.4184 0.2555
Br 0.2606 0.2606 0.7395
Br 0.4184 0.0963 0.2555
Br 0.5816 0.9037 0.7445
Br 0.7394 0.7394 0.2605
Br 0.9037 0.5816 0.7445

## Properties
space-group type	C2/m, No. 12
ρ	3.16	g/cm³
formation energy from raw total energies	-1.546	eV per atom
magnetization	0.00	μB/atom


First-principles (PBE) data for crystalline CaTbLu at its relaxed geometry, as listed in Alexandria.

a b c (Å): 8.1492 8.1492 8.1492
angles (deg): 154.43 154.43 36.47
Element x y z (fractional)
Ca 0.0000 0.0000 0.0000
Tb 0.3209 0.3209 0.0000
Lu 0.6748 0.6748 0.0000

## Properties
space-group type	I4mm, No. 107
energy above the lowest structure with this stoichiometry	0.000	eV per atom
ρ	6.17	g/cm³
magnetization	0.00	μB/atom
calculated formation energy	0.0822	eV per atom


First-principles (PBE) data for crystalline HoCu3Si2 at its relaxed geometry, as listed in Alexandria.

a b c (Å): 7.5501 7.5501 7.1362
angles (deg): 114.47 114.47 30.04
Element x y z (fractional)
Ho 0.1501 0.1501 0.0693
Ho 0.8499 0.8499 0.9307
Cu 0.0377 0.0377 0.3710
Cu 0.3152 0.3152 0.5508
Cu 0.4008 0.4008 0.3127
Cu 0.5992 0.5992 0.6873
Cu 0.6848 0.6848 0.4492
Cu 0.9623 0.9623 0.6290
Si 0.1924 0.1924 0.6885
Si 0.4805 0.4805 0.8261
Si 0.5195 0.5195 0.1739
Si 0.8076 0.8076 0.3115

## Properties
space-group type	C2/m, No. 12
ρ	7.43	g/cm³
formation energy from raw total energies	-0.438	eV per atom
magnetization	0.00	μB/atom


First-principles (PBE) data for crystalline Ac2NF at its relaxed geometry, as listed in Alexandria.

a b c (Å): 3.3899 3.3899 6.8274
angles (deg): 90.00 90.00 90.00
Element x y z (fractional)
Ac 0.0000 0.0000 0.2304
Ac 0.0000 0.0000 0.7696
N 0.5000 0.5000 0.0000
F 0.5000 0.5000 0.5000

## Properties
space-group type	P4/mmm, No. 123
energy above the lowest structure with this stoichiometry	0.667	eV per atom
ρ	10.31	g/cm³
formation energy from raw total energies	-1.165	eV per atom
magnetization	0.00	μB/atom